(1)
Computed, not measured: a geometry-optimized Dy2HoAl3AgPd2 structure at the GGA-PBE level of DFT.

Cell lengths 3.8763, 12.7753, 7.3815 Å; angles 90.00, 90.00, 90.00 degrees
Space group Amm2 (No. 38)
Symmetry-distinct sites (fractional):
Dy: 0.0000 0.2077 0.0000 (multiplicity 4)
Ho: 0.0000 0.0000 0.6231 (multiplicity 2)
Al: 0.5000 0.0000 0.9533 (multiplicity 2)
Al: 0.5000 0.1269 0.3353 (multiplicity 4)
Ag: 0.0000 0.0000 0.2084 (multiplicity 2)
Pd: 0.5000 0.1661 0.7076 (multiplicity 4)

(2)
Computed, not measured: a geometry-optimized Dy2HoAl3AgPt2 structure at the GGA-PBE level of DFT.

Cell lengths 3.9047, 12.7138, 7.3471 Å; angles 90.00, 90.00, 90.00 degrees
Space group Amm2 (No. 38)
Symmetry-distinct sites (fractional):
Dy: 0.0000 0.2076 0.0000 (multiplicity 4)
Ho: 0.0000 0.0000 0.3769 (multiplicity 2)
Al: 0.5000 0.0000 0.0507 (multiplicity 2)
Al: 0.5000 0.1290 0.6628 (multiplicity 4)
Ag: 0.0000 0.0000 0.7915 (multiplicity 2)
Pt: 0.5000 0.1661 0.2925 (multiplicity 4)

(3)
Computed, not measured: a geometry-optimized Dy2LuAl7Ag2 structure at the GGA-PBE level of DFT.

Cell lengths 5.5315, 5.5315, 26.2423 Å; angles 90.00, 90.00, 120.00 degrees
Space group R-3m (No. 166, hexagonal axes)
Symmetry-distinct sites (fractional):
Dy: 0.0000 0.0000 0.1423 (multiplicity 6)
Lu: 0.0000 0.0000 0.0000 (multiplicity 3)
Al: 0.0000 0.0000 0.5000 (multiplicity 3)
Al: 0.0081 0.5041 0.9161 (multiplicity 18)
Ag: 0.0000 0.0000 0.3358 (multiplicity 6)

(4)
Computed, not measured: a geometry-optimized Dy3Mg3AlAg2 structure at the GGA-PBE level of DFT.

Cell lengths 7.6130, 7.6130, 4.2184 Å; angles 90.00, 90.00, 120.00 degrees
Space group P-62m (No. 189)
Symmetry-distinct sites (fractional):
Dy: 0.0000 0.4138 0.0000 (multiplicity 3)
Mg: 0.0000 0.7536 0.5000 (multiplicity 3)
Al: 0.0000 0.0000 0.0000 (multiplicity 1)
Ag: 0.3333 0.6667 0.5000 (multiplicity 2)

Number 1: E_tot -89.12 eV/cell. Number 2: E_tot -95.70 eV/cell. Number 3: E_tot -152.08 eV/cell. Number 4: E_tot -30.15 eV/cell.